No. 1
Computed, not measured: a relaxed structure of SrAcTlIn at the GGA-PBE level of DFT.

Symmetry ... F-43m
Polymorph energy (0 for the lowest one) ... 8 meV per atom
Energy relative to the elements ... -1.6 eV/f.u.
Total magnetic moment ... 0.00 μB/f.u.

a b c (Å): 8.221 8.221 8.221
angles (deg): 90.00 90.00 90.00
Atoms (fractional coordinates):
Sr  0.000  0.000  0.000
Sr  0.000  0.500  0.500
Sr  0.500  0.000  0.500
Sr  0.500  0.500  0.000
Ac  0.000  0.000  0.500
Ac  0.000  0.500  0.000
Ac  0.500  0.000  0.000
Ac  0.500  0.500  0.500
Tl  0.250  0.250  0.250
Tl  0.250  0.750  0.750
Tl  0.750  0.250  0.750
Tl  0.750  0.750  0.250
In  0.250  0.250  0.750
In  0.250  0.750  0.250
In  0.750  0.250  0.250
In  0.750  0.750  0.750

***

No. 2
Computed, not measured: a relaxed structure of Sr2AcTl2In2 at the GGA-PBE level of DFT.

Symmetry ... R-3m
Energy relative to the elements ... -1.9 eV/f.u.
Total magnetic moment ... 0.00 μB/f.u.

a b c (Å): 13.038 13.038 13.038
angles (deg): 21.86 21.86 21.86
Atoms (fractional coordinates):
Sr  0.120  0.120  0.120
Sr  0.880  0.880  0.880
Ac  0.000  0.000  0.000
Tl  0.284  0.284  0.284
Tl  0.716  0.716  0.716
In  0.404  0.404  0.404
In  0.596  0.596  0.596

***

No. 3
Computed, not measured: a relaxed structure of SrAcTmIn at the GGA-PBE level of DFT.

Symmetry ... F-43m
Energy relative to the elements ... 0.3 eV/f.u.
Total magnetic moment ... 0.34 μB/f.u.

a b c (Å): 8.245 8.245 8.245
angles (deg): 90.00 90.00 90.00
Atoms (fractional coordinates):
Sr  0.000  0.000  0.000
Sr  0.000  0.500  0.500
Sr  0.500  0.000  0.500
Sr  0.500  0.500  0.000
Ac  0.250  0.250  0.250
Ac  0.250  0.750  0.750
Ac  0.750  0.250  0.750
Ac  0.750  0.750  0.250
Tm  0.000  0.000  0.500
Tm  0.000  0.500  0.000
Tm  0.500  0.000  0.000
Tm  0.500  0.500  0.500
In  0.250  0.250  0.750
In  0.250  0.750  0.250
In  0.750  0.250  0.250
In  0.750  0.750  0.750

***

No. 4
Computed, not measured: a relaxed structure of SrAcZn2In2 at the GGA-PBE level of DFT.

Symmetry ... P-3m1
Energy relative to the elements ... -2.3 eV/f.u.
Total magnetic moment ... 0.00 μB/f.u.

a b c (Å): 4.860 4.860 8.360
angles (deg): 90.00 90.00 120.00
Atoms (fractional coordinates):
Sr  0.000  0.000  0.000
Ac  0.000  0.000  0.500
Zn  0.333  0.667  0.262
Zn  0.667  0.333  0.738
In  0.333  0.667  0.743
In  0.667  0.333  0.257

***

No. 5
Computed, not measured: a relaxed structure of Sr2AcZn2In2 at the GGA-PBE level of DFT.

Symmetry ... R-3m
Energy relative to the elements ... -2.2 eV/f.u.
Total magnetic moment ... 0.00 μB/f.u.

a b c (Å): 11.822 11.822 11.822
angles (deg): 23.65 23.65 23.65
Atoms (fractional coordinates):
Sr  0.119  0.119  0.119
Sr  0.881  0.881  0.881
Ac  0.000  0.000  0.000
Zn  0.390  0.390  0.390
Zn  0.610  0.610  0.610
In  0.271  0.271  0.271
In  0.729  0.729  0.729

***

No. 6
Computed, not measured: a relaxed structure of AcTb9In2 at the GGA-PBE level of DFT.

Symmetry ... P4/mmm
Energy relative to the elements ... -1.7 eV/f.u.
Total magnetic moment ... 0.00 μB/f.u.

a b c (Å): 4.924 4.924 15.177
angles (deg): 90.00 90.00 90.00
Atoms (fractional coordinates):
Ac  0.000  0.000  0.000
Tb  0.000  0.500  0.180
Tb  0.000  0.500  0.500
Tb  0.000  0.500  0.820
Tb  0.500  0.000  0.180
Tb  0.500  0.000  0.500
Tb  0.500  0.000  0.820
Tb  0.500  0.500  0.000
Tb  0.500  0.500  0.342
Tb  0.500  0.500  0.658
In  0.000  0.000  0.341
In  0.000  0.000  0.659

***

No. 7
Computed, not measured: a relaxed structure of Ac3Tb2In3 at the GGA-PBE level of DFT.

Symmetry ... Immm
Energy relative to the elements ... -2.4 eV/f.u.
Total magnetic moment ... 0.00 μB/f.u.

a b c (Å): 4.025 5.749 23.575
angles (deg): 90.00 90.00 90.00
Atoms (fractional coordinates):
Ac  0.000  0.000  0.000
Ac  0.000  0.500  0.124
Ac  0.000  0.500  0.876
Ac  0.500  0.000  0.376
Ac  0.500  0.000  0.624
Ac  0.500  0.500  0.500
Tb  0.000  0.000  0.235
Tb  0.000  0.000  0.765
Tb  0.500  0.500  0.265
Tb  0.500  0.500  0.735
In  0.000  0.000  0.500
In  0.000  0.500  0.372
In  0.000  0.500  0.628
In  0.500  0.000  0.128
In  0.500  0.000  0.872
In  0.500  0.500  0.000

***

No. 8
Computed, not measured: a relaxed structure of Ac5TbIn6 at the GGA-PBE level of DFT.

Symmetry ... C2/m
Energy relative to the elements ... -5.0 eV/f.u.
Total magnetic moment ... 0.00 μB/f.u.

a b c (Å): 9.682 9.682 5.898
angles (deg): 100.06 100.06 46.99
Atoms (fractional coordinates):
Ac  0.000  0.000  0.000
Ac  0.161  0.161  0.671
Ac  0.322  0.322  0.302
Ac  0.678  0.678  0.698
Ac  0.839  0.839  0.329
Tb  0.500  0.500  0.000
In  0.114  0.571  0.816
In  0.286  0.714  0.500
In  0.429  0.886  0.184
In  0.571  0.114  0.816
In  0.714  0.286  0.500
In  0.886  0.429  0.184

***

No. 9
Computed, not measured: a relaxed structure of Ac2Tb3In4 at the GGA-PBE level of DFT.

Symmetry ... P2_1/c
Polymorph energy (0 for the lowest one) ... 0 meV per atom
Energy relative to the elements ... -3.9 eV/f.u.
Total magnetic moment ... 0.00 μB/f.u.

a b c (Å): 8.596 8.587 8.268
angles (deg): 90.00 108.04 90.00
Atoms (fractional coordinates):
Ac  0.189  0.176  0.066
Ac  0.189  0.324  0.566
Ac  0.811  0.676  0.434
Ac  0.811  0.824  0.934
Tb  0.248  0.671  0.249
Tb  0.248  0.829  0.749
Tb  0.500  0.000  0.500
Tb  0.500  0.500  0.000
Tb  0.752  0.171  0.251
Tb  0.752  0.329  0.751
In  0.081  0.539  0.864
In  0.081  0.961  0.364
In  0.499  0.124  0.871
In  0.499  0.376  0.371
In  0.501  0.624  0.629
In  0.501  0.876  0.129
In  0.919  0.039  0.636
In  0.919  0.461  0.136

***

No. 10
Computed, not measured: a relaxed structure of Ac3TbIn2 at the GGA-PBE level of DFT.

Symmetry ... Immm
Energy relative to the elements ... -1.6 eV/f.u.
Total magnetic moment ... 0.00 μB/f.u.

a b c (Å): 4.939 5.113 17.734
angles (deg): 90.00 90.00 90.00
Atoms (fractional coordinates):
Ac  0.000  0.000  0.000
Ac  0.000  0.500  0.322
Ac  0.000  0.500  0.678
Ac  0.500  0.000  0.178
Ac  0.500  0.000  0.822
Ac  0.500  0.500  0.500
Tb  0.000  0.000  0.500
Tb  0.500  0.500  0.000
In  0.000  0.500  0.130
In  0.000  0.500  0.870
In  0.500  0.000  0.370
In  0.500  0.000  0.630

***

No. 11
Computed, not measured: a relaxed structure of AcTb4In2 at the GGA-PBE level of DFT.

Symmetry ... I4/mmm
Energy relative to the elements ... 0.6 eV/f.u.
Total magnetic moment ... 0.00 μB/f.u.

a b c (Å): 4.517 4.517 23.142
angles (deg): 90.00 90.00 90.00
Atoms (fractional coordinates):
Ac  0.000  0.000  0.000
Ac  0.500  0.500  0.500
Tb  0.000  0.000  0.142
Tb  0.000  0.000  0.858
Tb  0.000  0.500  0.250
Tb  0.000  0.500  0.750
Tb  0.500  0.000  0.250
Tb  0.500  0.000  0.750
Tb  0.500  0.500  0.358
Tb  0.500  0.500  0.642
In  0.000  0.000  0.374
In  0.000  0.000  0.626
In  0.500  0.500  0.126
In  0.500  0.500  0.874

***

No. 12
Computed, not measured: a relaxed structure of AcTbIn3 at the GGA-PBE level of DFT.

Symmetry ... Cmcm
Energy relative to the elements ... -2.1 eV/f.u.
Total magnetic moment ... 0.00 μB/f.u.

a b c (Å): 14.627 14.627 4.739
angles (deg): 90.00 90.00 162.38
Atoms (fractional coordinates):
Ac  0.077  0.923  0.750
Ac  0.923  0.077  0.250
Tb  0.206  0.794  0.250
Tb  0.794  0.206  0.750
In  0.315  0.685  0.250
In  0.375  0.625  0.750
In  0.474  0.526  0.750
In  0.526  0.474  0.250
In  0.625  0.375  0.250
In  0.685  0.315  0.750

***

No. 13
Computed, not measured: a relaxed structure of AcTbIn6 at the GGA-PBE level of DFT.

Symmetry ... P4/mmm
Energy relative to the elements ... -3.2 eV/f.u.
Total magnetic moment ... 0.00 μB/f.u.

a b c (Å): 4.798 4.798 9.543
angles (deg): 90.00 90.00 90.00
Atoms (fractional coordinates):
Ac  0.000  0.000  0.000
Tb  0.000  0.000  0.500
In  0.000  0.500  0.263
In  0.000  0.500  0.737
In  0.500  0.000  0.263
In  0.500  0.000  0.737
In  0.500  0.500  0.000
In  0.500  0.500  0.500

***

No. 14
Computed, not measured: a relaxed structure of AcTb4In4 at the GGA-PBE level of DFT.

Symmetry ... P4_2/n
Energy relative to the elements ... -2.1 eV/f.u.
Total magnetic moment ... 0.00 μB/f.u.

a b c (Å): 9.582 9.582 5.955
angles (deg): 90.00 90.00 90.00
Atoms (fractional coordinates):
Ac  0.250  0.250  0.250
Ac  0.750  0.750  0.750
Tb  0.099  0.828  0.643
Tb  0.172  0.599  0.143
Tb  0.328  0.901  0.143
Tb  0.401  0.672  0.643
Tb  0.599  0.328  0.357
Tb  0.672  0.099  0.857
Tb  0.828  0.401  0.857
Tb  0.901  0.172  0.357
In  0.031  0.136  0.842
In  0.136  0.469  0.658
In  0.364  0.031  0.658
In  0.469  0.364  0.842
In  0.531  0.636  0.158
In  0.636  0.969  0.342
In  0.864  0.531  0.342
In  0.969  0.864  0.158

***

No. 15
Computed, not measured: a relaxed structure of AcTb5In3 at the GGA-PBE level of DFT.

Symmetry ... P6_3/mcm
Energy relative to the elements ... -2.8 eV/f.u.
Total magnetic moment ... 1.09 μB/f.u.

a b c (Å): 9.514 9.514 6.886
angles (deg): 90.00 90.00 120.00
Atoms (fractional coordinates):
Ac  0.000  0.000  0.000
Ac  0.000  0.000  0.500
Tb  0.000  0.334  0.250
Tb  0.000  0.666  0.750
Tb  0.333  0.667  0.000
Tb  0.333  0.667  0.500
Tb  0.334  0.000  0.250
Tb  0.334  0.334  0.750
Tb  0.666  0.000  0.750
Tb  0.666  0.666  0.250
Tb  0.667  0.333  0.000
Tb  0.667  0.333  0.500
In  0.000  0.341  0.750
In  0.000  0.659  0.250
In  0.341  0.000  0.750
In  0.341  0.341  0.250
In  0.659  0.000  0.250
In  0.659  0.659  0.750

***

No. 16
Computed, not measured: a relaxed structure of Ac3TbIn4 at the GGA-PBE level of DFT.

Symmetry ... P4/mmm
Energy relative to the elements ... -3.5 eV/f.u.
Total magnetic moment ... 0.00 μB/f.u.

a b c (Å): 3.983 3.983 16.428
angles (deg): 90.00 90.00 90.00
Atoms (fractional coordinates):
Ac  0.000  0.000  0.000
Ac  0.000  0.000  0.263
Ac  0.000  0.000  0.737
Tb  0.000  0.000  0.500
In  0.500  0.500  0.132
In  0.500  0.500  0.396
In  0.500  0.500  0.604
In  0.500  0.500  0.868

***

No. 17
Computed, not measured: a relaxed structure of AcTb2In9 at the GGA-PBE level of DFT.

Symmetry ... P4/mmm
Energy relative to the elements ... -4.9 eV/f.u.
Total magnetic moment ... 0.00 μB/f.u.

a b c (Å): 4.751 4.751 14.184
angles (deg): 90.00 90.00 90.00
Atoms (fractional coordinates):
Ac  0.000  0.000  0.000
Tb  0.000  0.000  0.341
Tb  0.000  0.000  0.659
In  0.000  0.500  0.178
In  0.000  0.500  0.500
In  0.000  0.500  0.822
In  0.500  0.000  0.178
In  0.500  0.000  0.500
In  0.500  0.000  0.822
In  0.500  0.500  0.000
In  0.500  0.500  0.337
In  0.500  0.500  0.663

***

No. 18
Computed, not measured: a relaxed structure of Ac2TbIn4 at the GGA-PBE level of DFT.

Symmetry ... I4/mmm
Energy relative to the elements ... -2.0 eV/f.u.
Total magnetic moment ... 0.00 μB/f.u.

a b c (Å): 5.561 5.561 15.143
angles (deg): 90.00 90.00 90.00
Atoms (fractional coordinates):
Ac  0.000  0.000  0.245
Ac  0.000  0.000  0.755
Ac  0.500  0.500  0.255
Ac  0.500  0.500  0.745
Tb  0.000  0.000  0.500
Tb  0.500  0.500  0.000
In  0.000  0.500  0.103
In  0.000  0.500  0.397
In  0.000  0.500  0.603
In  0.000  0.500  0.897
In  0.500  0.000  0.103
In  0.500  0.000  0.397
In  0.500  0.000  0.603
In  0.500  0.000  0.897

***

No. 19
Computed, not measured: a relaxed structure of AcTbIn4 at the GGA-PBE level of DFT.

Symmetry ... Pbam
Polymorph energy (0 for the lowest one) ... 0 meV per atom
Energy relative to the elements ... -2.2 eV/f.u.
Total magnetic moment ... 0.00 μB/f.u.

a b c (Å): 8.783 21.213 3.708
angles (deg): 90.00 90.00 90.00
Atoms (fractional coordinates):
Ac  0.109  0.183  0.000
Ac  0.391  0.683  0.000
Ac  0.609  0.317  0.000
Ac  0.891  0.817  0.000
Tb  0.111  0.423  0.000
Tb  0.389  0.923  0.000
Tb  0.611  0.077  0.000
Tb  0.889  0.577  0.000
In  0.058  0.685  0.500
In  0.072  0.935  0.500
In  0.213  0.550  0.500
In  0.228  0.808  0.500
In  0.272  0.308  0.500
In  0.287  0.050  0.500
In  0.428  0.435  0.500
In  0.442  0.185  0.500
In  0.558  0.815  0.500
In  0.572  0.565  0.500
In  0.713  0.950  0.500
In  0.728  0.692  0.500
In  0.772  0.192  0.500
In  0.787  0.450  0.500
In  0.928  0.065  0.500
In  0.942  0.315  0.500

***

No. 20
Computed, not measured: a relaxed structure of AcTb8In6 at the GGA-PBE level of DFT.

Symmetry ... R-3
Energy relative to the elements ... -3.0 eV/f.u.
Total magnetic moment ... 0.00 μB/f.u.

a b c (Å): 8.387 8.387 8.387
angles (deg): 66.85 66.85 66.85
Atoms (fractional coordinates):
Ac  0.000  0.000  0.000
Tb  0.115  0.442  0.782
Tb  0.218  0.885  0.558
Tb  0.331  0.331  0.331
Tb  0.442  0.782  0.115
Tb  0.558  0.218  0.885
Tb  0.669  0.669  0.669
Tb  0.782  0.115  0.442
Tb  0.885  0.558  0.218
In  0.060  0.712  0.406
In  0.288  0.594  0.940
In  0.406  0.060  0.712
In  0.594  0.940  0.288
In  0.712  0.406  0.060
In  0.940  0.288  0.594

***

Calculated energy (eV per atom), listed in the same order as above: -3.129, -2.800, -3.183, -2.678, -2.532, -4.409, -4.031, -3.884, -4.112, -4.002, -3.933, -3.816, -3.552, -3.963, -4.253, -3.921, -3.578, -3.686, -3.650, -4.040